(1)
Material: K2ZnH12Se2O14
Method: DFT, PBEsol
State: relaxed

Values from the calculation:
Density ... 2.63 g/cm³
N(E_F) ... 0.000 states/eV/atom
Space group ... P2_1/c, No. 14
Calculated total energy ... -5.153 eV per atom
Total moment ... 0.0 Bohr magnetons per cell

Lattice parameters (Å, degrees): 6.2719 9.0928 12.2324 90.00 90.00 103.43
Sites, in units of the cell vectors:
Se 0.7217 0.9120 0.6342
Se 0.2783 0.5880 0.1342
Se 0.2783 0.0880 0.3658
Se 0.7217 0.4120 0.8658
K 0.6656 0.3609 0.1633
K 0.3344 0.1391 0.6633
K 0.3344 0.6391 0.8367
K 0.6656 0.8609 0.3367
O 0.9690 0.1739 0.1145
O 0.8295 0.8331 0.1137
O 0.4002 0.2293 0.4482
O 0.4002 0.7293 0.0518
O 0.2547 0.9269 0.4332
O 0.5998 0.2707 0.9482
O 0.9678 0.3897 0.8256
O 0.5599 0.9100 0.7427
O 0.9678 0.8897 0.6744
O 0.9690 0.6739 0.3855
O 0.7072 0.5072 0.5639
O 0.7072 0.0072 0.9361
O 0.7453 0.5731 0.9332
O 0.4401 0.5900 0.2427
O 0.1705 0.6669 0.6137
O 0.5599 0.4100 0.7573
O 0.2547 0.4269 0.0668
O 0.8295 0.3331 0.3863
O 0.4401 0.0900 0.2573
O 0.2928 0.9928 0.0639
O 0.2928 0.4928 0.4361
O 0.1705 0.1669 0.8863
O 0.0322 0.6103 0.1744
O 0.7453 0.0731 0.5668
O 0.5998 0.7707 0.5518
O 0.0322 0.1103 0.3256
O 0.0310 0.3261 0.6145
O 0.0310 0.8261 0.8855
H 0.6794 0.7882 0.0843
H 0.6648 0.6064 0.5551
H 0.0953 0.2512 0.8748
H 0.0953 0.7512 0.6252
H 0.9187 0.7295 0.9017
H 0.3335 0.0280 0.1406
H 0.9996 0.3554 0.6908
H 0.9047 0.2488 0.3748
H 0.0004 0.6446 0.3092
H 0.9996 0.8554 0.8092
H 0.0813 0.2705 0.0983
H 0.0004 0.1446 0.1908
H 0.9047 0.7488 0.1252
H 0.9187 0.2295 0.5983
H 0.3206 0.7118 0.5843
H 0.3352 0.3936 0.4449
H 0.6665 0.9720 0.8594
H 0.3352 0.8936 0.0551
H 0.6648 0.1064 0.9449
H 0.6665 0.4720 0.6406
H 0.3206 0.2118 0.9157
H 0.3335 0.5280 0.3594
H 0.0813 0.7705 0.4017
H 0.6794 0.2882 0.4157
Zn 0.0000 0.5000 0.5000
Zn 0.0000 0.0000 0.0000

=====

(2)
Material: Li4V3Cr3Sn2O16
Method: DFT, PBEsol
State: relaxed

Values from the calculation:
Density ... 4.86 g/cm³
N(E_F) ... 0.387 states/eV/atom
Formation energy from raw total energies ... -2.08 eV per atom
Space group ... Cm, No. 8
Total moment ... 13.0 Bohr magnetons per cell

Lattice parameters (Å, degrees): 5.8191 5.8190 9.6691 89.69 89.68 59.92
Last column: magnetic moment on the atom in μB.
Sites, in units of the cell vectors:
O 0.9704 0.5175 0.6621  -0.01
O 0.5184 0.5184 0.6662  -0.01
O 0.6700 0.6700 0.8948  -0.01
O 0.5175 0.9703 0.6622  -0.01
O 0.9963 0.9964 0.1955  -0.01
O 0.8356 0.3194 0.3974  0.01
O 0.3192 0.8357 0.3974  0.01
O 0.6830 0.1570 0.8971  0.02
O 0.9977 0.9976 0.6936  -0.02
O 0.4867 0.4868 0.1585  0.00
O 0.1571 0.6828 0.8972  0.02
O 0.4836 0.0362 0.1646  -0.01
O 0.0363 0.4835 0.1646  -0.01
O 0.3310 0.3311 0.3992  -0.02
O 0.8401 0.8402 0.3958  0.01
O 0.1589 0.1589 0.8990  0.03
Li 0.3362 0.3360 0.6071  0.00
Li 0.6702 0.6699 0.1029  0.00
Li 0.9999 0.9998 0.0076  0.00
Li 0.9987 0.9989 0.5063  0.00
Sn 0.3334 0.3332 0.0048  0.07
Sn 0.6664 0.6666 0.5082  0.07
V 0.6474 0.1799 0.2857  1.41
V 0.1799 0.6475 0.2857  1.41
V 0.8258 0.8256 0.7845  1.28
Cr 0.1674 0.1674 0.2849  2.70
Cr 0.8333 0.3398 0.7847  2.67
Cr 0.3398 0.8332 0.7848  2.67

=====

(3)
Material: Nb2Co2Rh
Method: DFT, PBEsol
State: relaxed

Values from the calculation:
Density ... 9.84 g/cm³
N(E_F) ... 0.998 states/eV/atom
Space group ... P4/mbm, No. 127
Total moment ... 0.0 Bohr magnetons per cell
ΔH_f (0 K) ... -251 meV/atom

Lattice parameters (Å, degrees): 3.0123 6.7483 6.7483 90.00 90.00 90.00
Sites, in units of the cell vectors:
Rh 0.0000 0.5000 0.5000
Rh 0.0000 0.0000 0.0000
Nb 0.5000 0.3254 0.1746
Nb 0.5000 0.6746 0.8254
Nb 0.5000 0.8254 0.3254
Nb 0.5000 0.1746 0.6746
Co 0.0000 0.6273 0.1273
Co 0.0000 0.8727 0.6273
Co 0.0000 0.3727 0.8727
Co 0.0000 0.1273 0.3727

=====

(4)
Material: Mn2SiNi
Method: DFT, PBEsol
State: relaxed

Values from the calculation:
Density ... 7.57 g/cm³
N(E_F) ... 0.831 states/eV/atom
Formation energy from raw total energies ... -0.25 eV per atom
Space group ... Cm, No. 8
Total moment ... 1.5 Bohr magnetons per cell

Lattice parameters (Å, degrees): 2.7719 4.0267 4.2825 106.51 108.88 90.00
Last column: magnetic moment on the atom in μB.
Sites, in units of the cell vectors:
Ni 0.4901 0.4482 0.9803  0.09
Si 0.7527 0.2953 0.5055  -0.01
Mn 0.0005 0.9568 0.0009  1.74
Mn 0.2567 0.7997 0.5133  -0.32

=====

(5)
Material: CaMnSi3
Method: DFT, PBEsol
State: relaxed

Values from the calculation:
Density ... 3.42 g/cm³
N(E_F) ... 0.579 states/eV/atom
Formation energy from raw total energies ... -0.07 eV per atom
Space group ... Pm-3m, No. 221
Total moment ... 1.6 Bohr magnetons per cell

Lattice parameters (Å, degrees): 4.4309 4.4309 4.4309 90.00 90.00 90.00
Last column: magnetic moment on the atom in μB.
Sites, in units of the cell vectors:
Si 0.0000 0.5000 0.0000  0.01
Si 0.5000 0.0000 0.0000  0.01
Si 0.0000 0.0000 0.5000  0.01
Mn 0.0000 0.0000 0.0000  1.23
Ca 0.5000 0.5000 0.5000  0.04

=====

(6)
Material: YFe2
Method: DFT, PBEsol
State: relaxed

Values from the calculation:
Density ... 6.77 g/cm³
N(E_F) ... 0.959 states/eV/atom
Space group ... I4/mmm, No. 139
Total moment ... 4.8 Bohr magnetons per cell
ΔH_f (0 K) ... 211 meV/atom

Lattice parameters (Å, degrees): 3.1640 3.1640 5.3985 107.04 107.04 90.00
Last column: magnetic moment on the atom in μB.
Sites, in units of the cell vectors:
Fe 0.8006 0.8006 0.6013  2.49
Fe 0.1994 0.1994 0.3987  2.49
Y 0.5000 0.5000 0.0000  -0.19

=====

(7)
Material: KTcPt2
Method: DFT, PBEsol
State: relaxed

Values from the calculation:
Density ... 10.79 g/cm³
N(E_F) ... 1.039 states/eV/atom
Space group ... C2/m, No. 12
Energy above the lowest structure with this stoichiometry ... 0 meV/atom
Total moment ... 0.0 Bohr magnetons per cell
ΔH_f (0 K) ... 389 meV/atom

Lattice parameters (Å, degrees): 2.6884 4.3672 7.2832 93.67 90.00 107.93
Sites, in units of the cell vectors:
K 0.5000 0.0000 0.0000
Pt 0.7436 0.4872 0.6682
Pt 0.2564 0.5128 0.3318
Tc 0.0000 0.0000 0.5000

=====

(8)
Material: YZn4Rh
Method: DFT, PBEsol
State: relaxed

Values from the calculation:
Density ... 8.32 g/cm³
Space group ... F-43m, No. 216
Total moment ... 0.0 Bohr magnetons per cell
ΔH_f (0 K) ... -487 meV/atom

Lattice parameters (Å, degrees): 5.0387 5.0387 5.0387 60.00 60.00 60.00
Sites, in units of the cell vectors:
Zn 0.6237 0.6237 0.1289
Zn 0.6237 0.1289 0.6237
Zn 0.1289 0.6237 0.6237
Zn 0.6237 0.6237 0.6237
Y 0.0000 0.0000 0.0000
Rh 0.2500 0.2500 0.2500

=====

(9)
Material: NdB4Ir4
Method: DFT, PBEsol
State: relaxed

Values from the calculation:
Density ... 13.79 g/cm³
N(E_F) ... 0.266 states/eV/atom
Space group ... P4_2/n, No. 86
Total moment ... 0.0 Bohr magnetons per cell
ΔH_f (0 K) ... -571 meV/atom

Lattice parameters (Å, degrees): 3.9675 7.6182 7.6182 90.00 90.00 90.00
Sites, in units of the cell vectors:
B 0.8914 0.1582 0.2798
B 0.8914 0.8418 0.7202
B 0.1086 0.7202 0.1582
B 0.6086 0.3418 0.2202
B 0.1086 0.2798 0.8418
B 0.3914 0.2202 0.6582
B 0.3914 0.7798 0.3418
B 0.6086 0.6582 0.7798
Ir 0.3904 0.8425 0.6103
Ir 0.6096 0.3897 0.8425
Ir 0.1096 0.3425 0.1103
Ir 0.8904 0.1103 0.6575
Ir 0.1096 0.6575 0.8897
Ir 0.6096 0.6103 0.1575
Ir 0.8904 0.8897 0.3425
Ir 0.3904 0.1575 0.3897
Nd 0.5000 0.0000 0.0000
Nd 0.0000 0.5000 0.5000

=====

(10)
Material: La2RuBr
Method: DFT, PBEsol
State: relaxed

Values from the calculation:
Density ... 7.11 g/cm³
N(E_F) ... 0.504 states/eV/atom
Formation energy from raw total energies ... -0.73 eV per atom
Space group ... P4mm, No. 99
Energy above the lowest structure with this stoichiometry ... 114 meV/atom
Total moment ... 0.0 Bohr magnetons per cell

Lattice parameters (Å, degrees): 4.2347 4.2347 5.9727 90.00 90.00 90.00
Sites, in units of the cell vectors:
La 0.5000 0.5000 0.3734
La 0.0000 0.0000 0.9316
Ru 0.0000 0.0000 0.3249
Br 0.5000 0.5000 0.8701

=====

(11)
Material: KAg2Mo
Method: DFT, PBEsol
State: relaxed

Values from the calculation:
Density ... 7.54 g/cm³
N(E_F) ... 0.878 states/eV/atom
Space group ... Cm, No. 8
Energy above the lowest structure with this stoichiometry ... 40 meV/atom
Total moment ... 0.9 Bohr magnetons per cell
ΔH_f (0 K) ... 802 meV/atom

Lattice parameters (Å, degrees): 2.6687 5.3651 5.6857 102.29 103.57 90.00
Last column: magnetic moment on the atom in μB.
Sites, in units of the cell vectors:
Ag 0.2756 0.7001 0.5511  0.02
Ag 0.9783 0.0602 0.9567  0.03
K 0.5199 0.5708 0.0399  0.01
Mo 0.7262 0.1688 0.4523  0.70

=====

(12)
Material: OsRu2Pb
Method: DFT, PBEsol
State: relaxed

Values from the calculation:
Density ... 16.00 g/cm³
N(E_F) ... 1.481 states/eV/atom
Space group ... P4/mmm, No. 123
Total moment ... 0.0 Bohr magnetons per cell
ΔH_f (0 K) ... 831 meV/atom

Lattice parameters (Å, degrees): 3.8268 4.0319 4.0319 90.00 90.00 90.00
Sites, in units of the cell vectors:
Pb 0.5000 0.0000 0.0000
Ru 0.0000 0.5000 0.0000
Ru 0.0000 0.0000 0.5000
Os 0.5000 0.5000 0.5000

=====

(13)
Material: CrReW2
Method: DFT, PBEsol
State: relaxed

Values from the calculation:
Density ... 17.46 g/cm³
N(E_F) ... 0.976 states/eV/atom
Space group ... F-43m, No. 216
Energy above the lowest structure with this stoichiometry ... 54 meV/atom
Total moment ... 0.0 Bohr magnetons per cell
ΔH_f (0 K) ... 95 meV/atom

Lattice parameters (Å, degrees): 4.3358 4.3358 4.3358 60.00 60.00 60.00
Sites, in units of the cell vectors:
W 0.7500 0.7500 0.7500
W 0.0000 0.0000 0.0000
Re 0.2500 0.2500 0.2500
Cr 0.5000 0.5000 0.5000

=====

(14)
Material: BaMnTe2
Method: DFT, PBEsol
State: relaxed

Values from the calculation:
Density ... 6.36 g/cm³
N(E_F) ... 0.365 states/eV/atom
Formation energy from raw total energies ... -0.02 eV per atom
Space group ... F-43m, No. 216
Total moment ... 4.9 Bohr magnetons per cell

Lattice parameters (Å, degrees): 5.4876 5.4876 5.4876 60.00 60.00 60.00
Last column: magnetic moment on the atom in μB.
Sites, in units of the cell vectors:
Te 0.7500 0.7500 0.7500  0.07
Te 0.0000 0.0000 0.0000  0.00
Mn 0.2500 0.2500 0.2500  4.25
Ba 0.5000 0.5000 0.5000  0.03

=====

(15)
Material: Sc2CuOs
Method: DFT, PBEsol
State: relaxed

Values from the calculation:
Density ... 8.58 g/cm³
N(E_F) ... 0.653 states/eV/atom
Space group ... Cm, No. 8
Energy above the lowest structure with this stoichiometry ... 204 meV/atom
Total moment ... 0.0 Bohr magnetons per cell
ΔH_f (0 K) ... -190 meV/atom

Lattice parameters (Å, degrees): 3.1878 4.5100 5.1408 107.84 108.06 90.00
Sites, in units of the cell vectors:
Sc 0.7643 0.2935 0.5287
Sc 0.9789 0.9479 0.9577
Os 0.2373 0.7748 0.4745
Cu 0.5195 0.4838 0.0391

=====

(16)
Material: Sc2TaCr
Method: DFT, PBEsol
State: relaxed

Values from the calculation:
Density ... 7.60 g/cm³
N(E_F) ... 1.114 states/eV/atom
Space group ... F-43m, No. 216
Energy above the lowest structure with this stoichiometry ... 124 meV/atom
Total moment ... 0.6 Bohr magnetons per cell
ΔH_f (0 K) ... 332 meV/atom

Lattice parameters (Å, degrees): 4.6375 4.6375 4.6375 60.00 60.00 60.00
Last column: magnetic moment on the atom in μB.
Sites, in units of the cell vectors:
Sc 0.7500 0.7500 0.7500  -0.29
Sc 0.0000 0.0000 0.0000  -0.01
Cr 0.2500 0.2500 0.2500  1.38
Ta 0.5000 0.5000 0.5000  -0.43

=====

(17)
Material: TcHPb2F
Method: DFT, PBEsol
State: relaxed

Values from the calculation:
Density ... 8.54 g/cm³
N(E_F) ... 0.794 states/eV/atom
Space group ... P4/mmm, No. 123
Calculated total energy ... -4.230 eV per atom
Total moment ... 1.4 Bohr magnetons per cell

Lattice parameters (Å, degrees): 3.8834 5.1616 5.1616 90.00 90.00 90.00
Last column: magnetic moment on the atom in μB.
Sites, in units of the cell vectors:
Pb 0.0000 0.5000 0.0000  -0.06
Pb 0.0000 0.0000 0.5000  -0.06
Tc 0.5000 0.0000 0.0000  1.37
H 0.5000 0.5000 0.5000  0.05
F 0.0000 0.0000 0.0000  0.06

=====

(18)
Material: Tl2MoPb
Method: DFT, PBEsol
State: relaxed

Values from the calculation:
Density ... 13.06 g/cm³
N(E_F) ... 0.645 states/eV/atom
Space group ... I-4m2, No. 119
Energy above the lowest structure with this stoichiometry ... 0 meV/atom
Total moment ... 1.6 Bohr magnetons per cell
ΔH_f (0 K) ... 750 meV/atom

Lattice parameters (Å, degrees): 4.4081 4.4081 5.6063 113.15 113.15 90.00
Last column: magnetic moment on the atom in μB.
Sites, in units of the cell vectors:
Tl 0.7500 0.2500 0.5000  -0.01
Tl 0.0000 0.0000 0.0000  -0.01
Pb 0.2500 0.7500 0.5000  -0.01
Mo 0.5000 0.5000 0.0000  1.52

=====

(19)
Material: AlAuO2
Method: DFT, PBEsol
State: relaxed

Values from the calculation:
Density ... 9.60 g/cm³
Formation energy from raw total energies ... -1.92 eV per atom
Space group ... P6_3/mmc, No. 194
Total moment ... 0.0 Bohr magnetons per cell

Lattice parameters (Å, degrees): 2.8970 2.8970 12.1760 90.00 90.00 120.00
Sites, in units of the cell vectors:
O 0.3333 0.6667 0.0777
O 0.6667 0.3333 0.5777
O 0.6667 0.3333 0.9223
O 0.3333 0.6667 0.4223
Au 0.6667 0.3333 0.7500
Au 0.3333 0.6667 0.2500
Al 0.0000 0.0000 0.5000
Al 0.0000 0.0000 0.0000

=====

(20)
Material: MoIrN2
Method: DFT, PBEsol
State: relaxed

Values from the calculation:
Density ... 11.27 g/cm³
N(E_F) ... 0.621 states/eV/atom
Formation energy from raw total energies ... 0.08 eV per atom
Space group ... I-42d, No. 122
Energy above the lowest structure with this stoichiometry ... 0 meV/atom
Total moment ... 0.0 Bohr magnetons per cell

Lattice parameters (Å, degrees): 4.1145 4.1145 6.2257 109.30 109.30 90.00
Sites, in units of the cell vectors:
Ir 0.2500 0.7500 0.5000
Ir 0.0000 0.0000 0.0000
N 0.1250 0.1380 0.7500
N 0.3880 0.8750 0.2500
N 0.6250 0.6120 0.7500
N 0.8620 0.3750 0.2500
Mo 0.7500 0.2500 0.5000
Mo 0.5000 0.5000 0.0000